(1)
The following is a DFT calculation (PBE) of crystalline Ac4SbSe3 at its relaxed geometry.

```
data_Ac4SbSe3
_cell_length_a 9.1028
_cell_length_b 12.8754
_cell_length_c 4.5617
_cell_angle_alpha 90.00
_cell_angle_beta 90.00
_cell_angle_gamma 90.00
_space_group_name_H-M_alt 'C m m m'
_space_group_IT_number 65
_space_group_name_Hall '-C 2 2'
loop_
_atom_site_label
_atom_site_type_symbol
_atom_site_fract_x
_atom_site_fract_y
_atom_site_fract_z
_atom_site_occupancy
Ac1 Ac 0.0000 0.2455 0.0000 1
Ac2 Ac 0.2404 0.0000 0.5000 1
Sb1 Sb 0.0000 0.5000 0.0000 1
Se1 Se 0.0000 0.0000 0.0000 1
Se2 Se 0.2500 0.2500 0.5000 1
```

***

(2)
The following is a DFT calculation (PBE) of crystalline Ac4SbSe3 at its relaxed geometry.

```
data_Ac4SbSe3
_cell_length_a 6.4495
_cell_length_b 6.4495
_cell_length_c 6.4495
_cell_angle_alpha 90.00
_cell_angle_beta 90.00
_cell_angle_gamma 90.00
_space_group_name_H-M_alt 'P m -3 m'
_space_group_IT_number 221
_space_group_name_Hall '-P 4 2 3'
loop_
_atom_site_label
_atom_site_type_symbol
_atom_site_fract_x
_atom_site_fract_y
_atom_site_fract_z
_atom_site_occupancy
Ac1 Ac 0.0000 0.0000 0.0000 1
Ac2 Ac 0.0000 0.5000 0.5000 1
Sb1 Sb 0.5000 0.5000 0.5000 1
Se1 Se 0.0000 0.0000 0.5000 1
```

***

Ordering by calculated energy gives the sequence (1), (2), with the first entry being the most stable.

***

(1)
The following is a DFT calculation (PBE) of crystalline AcSb2Se4 at its relaxed geometry.

```
data_AcSb2Se4
_cell_length_a 4.5041
_cell_length_b 13.1848
_cell_length_c 13.8077
_cell_angle_alpha 90.00
_cell_angle_beta 90.00
_cell_angle_gamma 90.00
_space_group_name_H-M_alt 'C m c m'
_space_group_IT_number 63
_space_group_name_Hall '-C 2c 2'
loop_
_atom_site_label
_atom_site_type_symbol
_atom_site_fract_x
_atom_site_fract_y
_atom_site_fract_z
_atom_site_occupancy
Ac1 Ac 0.0000 0.1187 0.2500 1
Sb1 Sb 0.0000 0.3736 0.0564 1
Se1 Se 0.0000 0.0000 0.0000 1
Se2 Se 0.0000 0.2688 0.6179 1
Se3 Se 0.0000 0.4605 0.2500 1
```

***

(2)
The following is a DFT calculation (PBE) of crystalline AcSb2Se4 at its relaxed geometry.

```
data_AcSb2Se4
_cell_length_a 9.0398
_cell_length_b 12.7842
_cell_length_c 14.4950
_cell_angle_alpha 90.00
_cell_angle_beta 90.00
_cell_angle_gamma 90.00
_space_group_name_H-M_alt 'F d d d'
_space_group_IT_number 70
loop_
_space_group_symop_operation_xyz
'x,y,z'
'-x,-y,-z'
'-x+1/4,-y+1/4,z'
'x+1/4,y+1/4,-z'
'x,-y+1/4,-z+1/4'
'-x,y+1/4,z+1/4'
'-x+1/4,y,-z+1/4'
'x+1/4,-y,z+1/4'
'x,y+1/2,z+1/2'
'-x,-y+1/2,-z+1/2'
'-x+1/4,-y+3/4,z+1/2'
'x+1/4,y+3/4,-z+1/2'
'x,-y+3/4,-z+3/4'
'-x,y+3/4,z+3/4'
'-x+1/4,y+1/2,-z+3/4'
'x+1/4,-y+1/2,z+3/4'
'x+1/2,y,z+1/2'
'-x+1/2,-y,-z+1/2'
'-x+3/4,-y+1/4,z+1/2'
'x+3/4,y+1/4,-z+1/2'
'x+1/2,-y+1/4,-z+3/4'
'-x+1/2,y+1/4,z+3/4'
'-x+3/4,y,-z+3/4'
'x+3/4,-y,z+3/4'
'x+1/2,y+1/2,z'
'-x+1/2,-y+1/2,-z'
'-x+3/4,-y+3/4,z'
'x+3/4,y+3/4,-z'
'x+1/2,-y+3/4,-z+1/4'
'-x+1/2,y+3/4,z+1/4'
'-x+3/4,y+1/2,-z+1/4'
'x+3/4,-y+1/2,z+1/4'
loop_
_atom_site_label
_atom_site_type_symbol
_atom_site_fract_x
_atom_site_fract_y
_atom_site_fract_z
_atom_site_occupancy
Ac1 Ac 0.1250 0.1250 0.1250 1
Sb1 Sb 0.0000 0.0000 0.5000 1
Se1 Se 0.0569 0.2786 0.9609 1
```

***

Ordering by calculated energy gives the sequence (1), (2), with the first entry being the most stable.

***

(1)
The following is a DFT calculation (PBE) of crystalline AcSiSb at its relaxed geometry.

```
data_AcSiSb
_cell_length_a 4.7885
_cell_length_b 4.7885
_cell_length_c 4.3623
_cell_angle_alpha 90.00
_cell_angle_beta 90.00
_cell_angle_gamma 120.00
_space_group_name_H-M_alt 'P -6 m 2'
_space_group_IT_number 187
_space_group_name_Hall 'P -6 2'
loop_
_atom_site_label
_atom_site_type_symbol
_atom_site_fract_x
_atom_site_fract_y
_atom_site_fract_z
_atom_site_occupancy
Ac1 Ac 0.0000 0.0000 0.0000 1
Si1 Si 0.6667 0.3333 0.5000 1
Sb1 Sb 0.3333 0.6667 0.5000 1
```

***

(2)
The following is a DFT calculation (PBE) of crystalline AcSiSb at its relaxed geometry.

```
data_AcSiSb
_cell_length_a 7.2221
_cell_length_b 7.2221
_cell_length_c 7.2221
_cell_angle_alpha 90.00
_cell_angle_beta 90.00
_cell_angle_gamma 90.00
_space_group_name_H-M_alt 'F -4 3 m'
_space_group_IT_number 216
_space_group_name_Hall 'F -4 2 3'
loop_
_atom_site_label
_atom_site_type_symbol
_atom_site_fract_x
_atom_site_fract_y
_atom_site_fract_z
_atom_site_occupancy
Ac1 Ac 0.0000 0.0000 0.0000 1
Si1 Si 0.2500 0.2500 0.2500 1
Sb1 Sb 0.0000 0.0000 0.5000 1
```

***

Ordering by calculated energy gives the sequence (1), (2), with the first entry being the most stable.

***

(1)
The following is a DFT calculation (PBE) of crystalline Ac3SiSb at its relaxed geometry.

```
data_Ac3SiSb
_cell_length_a 5.8821
_cell_length_b 5.8821
_cell_length_c 5.8821
_cell_angle_alpha 90.00
_cell_angle_beta 90.00
_cell_angle_gamma 90.00
_space_group_name_H-M_alt 'P m -3 m'
_space_group_IT_number 221
_space_group_name_Hall '-P 4 2 3'
loop_
_atom_site_label
_atom_site_type_symbol
_atom_site_fract_x
_atom_site_fract_y
_atom_site_fract_z
_atom_site_occupancy
Ac1 Ac 0.0000 0.0000 0.5000 1
Si1 Si 0.0000 0.0000 0.0000 1
Sb1 Sb 0.5000 0.5000 0.5000 1
```

***

(2)
The following is a DFT calculation (PBE) of crystalline Ac3SiSb at its relaxed geometry.

```
data_Ac3SiSb
_cell_length_a 13.9243
_cell_length_b 7.6912
_cell_length_c 9.2560
_cell_angle_alpha 90.00
_cell_angle_beta 121.03
_cell_angle_gamma 90.00
_space_group_name_H-M_alt 'C 1 m 1'
_space_group_IT_number 8
_space_group_name_Hall 'C -2y'
loop_
_atom_site_label
_atom_site_type_symbol
_atom_site_fract_x
_atom_site_fract_y
_atom_site_fract_z
_atom_site_occupancy
Ac1 Ac 0.0000 0.0000 0.0000 1
Ac2 Ac 0.0556 0.2737 0.4380 1
Ac3 Ac 0.2249 0.2572 0.9808 1
Ac4 Ac 0.3214 0.5000 0.4612 1
Si1 Si 0.2474 0.5000 0.7268 1
Si2 Si 0.4050 0.5000 0.2160 1
Sb1 Sb 0.0541 0.5000 0.1000 1
Sb2 Sb 0.3096 0.0000 0.3510 1
```

***

Ordering by calculated energy gives the sequence (2), (1), with the first entry being the most stable.

***

(1)
The following is a DFT calculation (PBE) of crystalline AcSm2Sb at its relaxed geometry.

```
data_AcSm2Sb
_cell_length_a 4.1370
_cell_length_b 4.1370
_cell_length_c 29.9861
_cell_angle_alpha 90.00
_cell_angle_beta 90.00
_cell_angle_gamma 120.00
_space_group_name_H-M_alt 'R -3 m'
_space_group_IT_number 166
_space_group_name_Hall '-R 3 2"'
loop_
_atom_site_label
_atom_site_type_symbol
_atom_site_fract_x
_atom_site_fract_y
_atom_site_fract_z
_atom_site_occupancy
Ac1 Ac 0.0000 0.0000 0.0000 1
Sm1 Sm 0.0000 0.0000 0.2309 1
Sb1 Sb 0.0000 0.0000 0.5000 1
```

***

(2)
The following is a DFT calculation (PBE) of crystalline AcSm2Sb at its relaxed geometry.

```
data_AcSm2Sb
_cell_length_a 5.0524
_cell_length_b 5.0524
_cell_length_c 4.9271
_cell_angle_alpha 90.00
_cell_angle_beta 90.00
_cell_angle_gamma 90.00
_space_group_name_H-M_alt 'P 4/m m m'
_space_group_IT_number 123
_space_group_name_Hall '-P 4 2'
loop_
_atom_site_label
_atom_site_type_symbol
_atom_site_fract_x
_atom_site_fract_y
_atom_site_fract_z
_atom_site_occupancy
Ac1 Ac 0.0000 0.0000 0.0000 1
Sm1 Sm 0.0000 0.5000 0.5000 1
Sb1 Sb 0.5000 0.5000 0.0000 1
```

***

Ordering by calculated energy gives the sequence (2), (1), with the first entry being the most stable.

***

(1)
The following is a DFT calculation (PBE) of crystalline AcSm2Sb at its relaxed geometry.

```
data_AcSm2Sb
_cell_length_a 4.0716
_cell_length_b 4.0716
_cell_length_c 7.8608
_cell_angle_alpha 90.00
_cell_angle_beta 90.00
_cell_angle_gamma 90.00
_space_group_name_H-M_alt 'P 4/m m m'
_space_group_IT_number 123
_space_group_name_Hall '-P 4 2'
loop_
_atom_site_label
_atom_site_type_symbol
_atom_site_fract_x
_atom_site_fract_y
_atom_site_fract_z
_atom_site_occupancy
Ac1 Ac 0.0000 0.0000 0.0000 1
Sm1 Sm 0.5000 0.5000 0.2956 1
Sb1 Sb 0.0000 0.0000 0.5000 1
```

***

(2)
The following is a DFT calculation (PBE) of crystalline AcSm2Sb at its relaxed geometry.

```
data_AcSm2Sb
_cell_length_a 4.1629
_cell_length_b 4.1629
_cell_length_c 29.7759
_cell_angle_alpha 90.00
_cell_angle_beta 90.00
_cell_angle_gamma 120.00
_space_group_name_H-M_alt 'R 3 m'
_space_group_IT_number 160
_space_group_name_Hall 'R 3 -2"'
loop_
_atom_site_label
_atom_site_type_symbol
_atom_site_fract_x
_atom_site_fract_y
_atom_site_fract_z
_atom_site_occupancy
Ac1 Ac 0.0000 0.0000 0.0000 1
Sm1 Sm 0.0000 0.0000 0.2315 1
Sm2 Sm 0.0000 0.0000 0.4364 1
Sb1 Sb 0.0000 0.0000 0.8342 1
```

***

Ordering by calculated energy gives the sequence (1), (2), with the first entry being the most stable.